A plane-wave DFT calculation with GGA-PBE was carried out for a relaxed structure of UCo2B.

Summary:
E_form in eV/f.u.: -1.0
N(E_F) in states/eV/f.u.: 4.46
Final energy in eV/atom: -8.29

Cell lengths 3.5649, 5.0604, 5.8558 Å; angles 90.00, 90.00, 110.63 degrees
Closest atoms and distances in Å follow each position.
Fractional positions:
Co 0.3461 0.6922 0.5434  3 B 2.17-2.21, 1 Co 2.42
Co 0.6539 0.3078 0.4566  3 B 2.17-2.21, 1 Co 2.42
Co 0.3461 0.6922 0.9566  3 B 2.17-2.21, 1 Co 2.42
Co 0.6539 0.3078 0.0434  3 B 2.17-2.21, 1 Co 2.42
B 0.7946 0.5892 0.7500  6 Co 2.17-2.21
B 0.2054 0.4108 0.2500  6 Co 2.17-2.21
U 0.0775 0.1550 0.7500  6 Co 2.58-2.82, 3 B 2.68-2.72
U 0.9225 0.8450 0.2500  6 Co 2.58-2.82, 3 B 2.68-2.72

=====

A plane-wave DFT calculation with GGA-PBE was carried out for a relaxed structure of BaLiThSe4.

Summary:
N(E_F) in states/eV/f.u.: 1.54
Formation energy from raw total energies in eV/atom: -1.44
Final energy in eV/atom: -5.04

Cell lengths 6.0108, 7.4103, 8.9183 Å; angles 90.00, 109.69, 90.00 degrees
Closest atoms and distances in Å follow each position.
Fractional positions:
Se 0.9541 0.2500 0.9082  1 Th 2.85, 2 Ba 3.17
Se 0.5838 0.2500 0.1675  1 Li 2.47
Se 0.5000 0.5000 0.5000  2 Li 2.41
Se 0.0000 0.0000 0.5000  2 Li 2.41
Se 0.0459 0.7500 0.0918  1 Th 2.85, 2 Ba 3.17
Se 0.5000 0.0000 0.5000  2 Li 2.41
Se 0.4162 0.7500 0.8325  1 Li 2.47
Se 0.0000 0.5000 0.5000  2 Li 2.41
Th 0.8762 0.7500 0.7524  7 Se 2.85-3.19
Th 0.1238 0.2500 0.2476  7 Se 2.85-3.19
Li 0.7310 0.2500 0.4620  5 Se 2.41-2.47
Li 0.2690 0.7500 0.5380  5 Se 2.41-2.47
Ba 0.6056 0.7500 0.2113  7 Se 3.17-3.40
Ba 0.3944 0.2500 0.7887  7 Se 3.17-3.40

=====

A plane-wave DFT calculation with GGA-PBE was carried out for a relaxed structure of KZr2Os.

Summary:
E_form in eV/f.u.: 2.3
N(E_F) in states/eV/f.u.: 4.47
Final energy in eV/atom: -6.77

Cell lengths 5.1593, 5.1593, 5.1593 Å; angles 130.75, 115.32, 85.39 degrees
Closest atoms and distances in Å follow each position.
Fractional positions:
Zr 0.4621 0.4621 0.0000  2 Os 2.68
Zr 0.0379 0.0379 0.0000  2 Os 2.68
K 0.7500 0.2500 0.5000  8 Zr 3.06-3.19
Os 0.2500 0.7500 0.5000  4 Zr 2.68

=====

A plane-wave DFT calculation with GGA-PBE was carried out for a relaxed structure of CrAg2Os.

Summary:
E_form in eV/f.u.: 2.7
N(E_F) in states/eV/f.u.: 3.45
Final energy in eV/atom: -5.96

Cell lengths 5.1794, 5.1794, 5.1794 Å; angles 137.46, 137.46, 61.74 degrees
Closest atoms and distances in Å follow each position.
Fractional positions:
Ag 0.5000 0.5000 0.0000  4 Ag 2.66, 4 Cr 2.91, 4 Os 2.91
Ag 0.0000 0.0000 0.0000  4 Ag 2.66, 4 Cr 2.91, 4 Os 2.91
Cr 0.2500 0.7500 0.5000  4 Os 2.66, 8 Ag 2.91
Os 0.7500 0.2500 0.5000  4 Cr 2.66, 8 Ag 2.91

=====

A plane-wave DFT calculation with GGA-PBE was carried out for a relaxed structure of Nb2AlV2.

Summary:
E_form in eV/f.u.: 1.6
N(E_F) in states/eV/f.u.: 5.26
Final energy in eV/atom: -8.11

Cell lengths 7.1351, 7.1351, 3.3246 Å; angles 90.00, 90.00, 90.00 degrees
Closest atoms and distances in Å follow each position.
Fractional positions:
V 0.3440 0.1560 0.5000  6 Nb 2.59-2.73
V 0.8440 0.3440 0.5000  6 Nb 2.59-2.73
V 0.6560 0.8440 0.5000  6 Nb 2.59-2.73
V 0.1560 0.6560 0.5000  6 Nb 2.59-2.73
Al 0.5000 0.5000 0.0000  4 Nb 2.73
Al 0.0000 0.0000 0.0000  4 Nb 2.73
Nb 0.8530 0.6470 0.0000  6 V 2.59-2.73, 2 Al 2.73
Nb 0.6470 0.1470 0.0000  6 V 2.59-2.73, 2 Al 2.73
Nb 0.1470 0.3530 0.0000  6 V 2.59-2.73, 2 Al 2.73
Nb 0.3530 0.8530 0.0000  6 V 2.59-2.73, 2 Al 2.73

=====

A plane-wave DFT calculation with GGA-PBE was carried out for a relaxed structure of NdPtAu.

Summary:
E_form in eV/f.u.: -2.5
N(E_F) in states/eV/f.u.: 1.81
Final energy in eV/atom: -5.54

Cell lengths 4.9425, 5.8642, 5.8642 Å; angles 80.24, 65.08, 65.08 degrees
Closest atoms and distances in Å follow each position.
Fractional positions:
Pt 0.7500 0.9467 0.0533  2 Pt 2.60, 1 Au 2.72
Pt 0.2500 0.0533 0.9467  2 Pt 2.60, 1 Au 2.72
Au 0.7500 0.5868 0.4132  1 Pt 2.72, 2 Au 2.80
Au 0.2500 0.4132 0.5868  1 Pt 2.72, 2 Au 2.80
Nd 0.0000 0.0000 0.5000  2 Pt 2.96, 2 Au 3.16
Nd 0.5000 0.5000 0.0000  2 Pt 2.96, 2 Au 3.16

=====

A plane-wave DFT calculation with GGA-PBE was carried out for a relaxed structure of KSn2BiBr8.

Summary:
N(E_F) in states/eV/f.u.: 0.00
Formation energy from raw total energies in eV/atom: -0.91
Final energy in eV/atom: -3.10

Cell lengths 7.2613, 6.9310, 9.0738 Å; angles 89.95, 89.96, 88.90 degrees
Closest atoms and distances in Å follow each position.
Fractional positions:
Sn 0.5002 0.5004 0.2520  6 Br 2.91-3.19
Sn 0.4998 0.4996 0.7480  6 Br 2.91-3.19
Bi 0.0000 0.0000 0.0000  6 Br 2.89-2.92
Br 0.8377 0.2448 0.2254  1 Bi 2.89, 1 Sn 3.01, 1 K 3.22
Br 0.3627 0.2784 0.5004  2 Sn 2.91
Br 0.1623 0.7552 0.7746  1 Bi 2.89, 1 Sn 3.01, 1 K 3.22
Br 0.8379 0.2449 0.7745  1 Bi 2.89, 1 Sn 3.01, 1 K 3.22
Br 0.1621 0.7551 0.2255  1 Bi 2.89, 1 Sn 3.01, 1 K 3.22
Br 0.6758 0.7571 0.0002  1 Bi 2.92, 2 Sn 3.18-3.19
Br 0.6373 0.7216 0.4996  2 Sn 2.91
Br 0.3242 0.2429 0.9998  1 Bi 2.92, 2 Sn 3.18-3.19
K 0.0000 0.0000 0.5000  6 Br 3.22-3.29